Rb6Te2F after structural relaxation. Source: Alexandria, functional PBE.

It has space group Immm (No. 71), with a = 6.0701 Å, b = 8.4068 Å, c = 17.4819 Å, α = 90.00°, β = 90.00° and γ = 90.00°. The asymmetric unit holds Rb at (0.0000, 0.2376, 0.0000), Rb at (0.0000, 0.2580, 0.3417), Te at (0.0000, 0.5000, 0.1648) and F at (0.0000, 0.5000, 0.5000).

Its crystal system is orthorhombic. For the uncorrected energy, the calculation gives -2.650 eV/atom.

Rb12Te3F5 after structural relaxation. Source: Alexandria, functional PBE.

It has space group Ia-3d (No. 230), with a = 18.6704 Å, b = 18.6704 Å, c = 18.6704 Å, α = 90.00°, β = 90.00° and γ = 90.00°. The asymmetric unit holds Rb at (0.0314, 0.0522, 0.6499), Te at (0.0000, 0.2500, 0.1250), F at (0.0000, 0.0000, 0.0000) and F at (0.0000, 0.2500, 0.3750).

Its crystal system is cubic. For the uncorrected energy, the calculation gives -3.233 eV/atom.

RbTeF3 after structural relaxation. Source: Alexandria, functional PBE.

It has space group I4/mmm (No. 139), with a = 6.9676 Å, b = 6.9676 Å, c = 10.9123 Å, α = 90.00°, β = 90.00° and γ = 90.00°. The asymmetric unit holds Rb at (0.0000, 0.5000, 0.2500), Te at (0.0000, 0.0000, 0.0000), Te at (0.0000, 0.0000, 0.5000), F at (0.0000, 0.0000, 0.1911) and F at (0.2119, 0.2119, 0.0000).

Its crystal system is tetragonal. For the uncorrected energy, the calculation gives -3.861 eV/atom. The offset from the most stable computed form comes out at 137 meV per atom.

RbTeF4 after structural relaxation. Source: Alexandria, functional PBE.

It has space group Cmcm (No. 63), with a = 4.9631 Å, b = 17.0871 Å, c = 6.1991 Å, α = 90.00°, β = 90.00° and γ = 90.00°. The asymmetric unit holds Rb at (0.0000, 0.1643, 0.2500), Te at (0.0000, 0.4049, 0.2500), F at (0.0000, 0.1092, 0.7500), F at (0.0000, 0.3208, 0.0173) and F at (0.0000, 0.5000, 0.0000).

Its crystal system is orthorhombic. For the uncorrected energy, the calculation gives -4.054 eV/atom.

Looking at energy relative to the elements, uncorrected for the records above, in order, we have -955 -3306 -924 -1228 kJ/mol of formula units.
Looking at calculated volume for the records above, in order, we have 49.6 40.7 26.5 21.9 Å³ per atom.